BaUVO5: optimized geometry, PBE with a Hubbard U.

Unit cell a=7.477 b=10.042 c=8.082 alpha=90.00 beta=114.43 gamma=90.00
Space group C2/c (No. 15)
Unique sites:
Ba (0.000, 0.169, 0.250) (multiplicity 4)
U (0.000, 0.500, 0.000) (multiplicity 4)
V (0.000, 0.187, 0.750) (multiplicity 4)
O (0.000, 0.433, 0.250) (multiplicity 4)
O (0.091, 0.297, 0.603) (multiplicity 8)
O (0.196, 0.062, 0.901) (multiplicity 8)

Summary:
E: -8.4885 eV/atom
Fermi-level density of states: 1.198 states/eV/cell